Density functional theory data (GGA+U) for a geometry-optimized Sr6MgW4O18 structure.

abc: 7.635 7.635 7.635
angles: 83.13 83.13 83.13
Positions (direct):
1 W 0.825 0.825 0.825
2 O 0.611 0.687 0.907
3 Sr 0.762 0.436 0.094
4 O 0.630 0.397 0.716
5 Sr 0.238 0.564 0.906
6 Mg 0.000 0.000 0.000
7 W 0.366 0.366 0.366
8 O 0.284 0.370 0.603
9 W 0.175 0.175 0.175
10 O 0.397 0.716 0.630
11 W 0.634 0.634 0.634
12 Sr 0.094 0.762 0.436
13 O 0.723 0.030 0.953
14 O 0.970 0.047 0.277
15 O 0.907 0.611 0.687
16 O 0.389 0.313 0.093
17 Sr 0.564 0.906 0.238
18 O 0.953 0.723 0.030
19 O 0.603 0.284 0.370
20 O 0.687 0.907 0.611
21 O 0.093 0.389 0.313
22 Sr 0.906 0.238 0.564
23 O 0.313 0.093 0.389
24 O 0.370 0.603 0.284
25 Sr 0.436 0.094 0.762
26 O 0.716 0.630 0.397
27 O 0.277 0.970 0.047
28 O 0.030 0.953 0.723
29 O 0.047 0.277 0.970

relative energy among the computed polymorphs = 0.0968 eV/atom